Record 1
## Tm4PaCo5 (PBE)

Data for a relaxed Tm4PaCo5 crystal.

Lattice parameters (Å, degrees): 6.5433 6.5433 6.5433 99.97 99.97 130.83
Sites, in units of the cell vectors:
Tm1 0.0789 0.6907 0.7696
Tm2 0.3093 0.0789 0.3882
Tm3 0.6907 0.9211 0.6118
Tm4 0.9211 0.3093 0.2304
Pa1 0.3629 0.3629 0.0000
Co1 0.2684 0.4159 0.6623
Co2 0.4159 0.7536 0.1475
Co3 0.6061 0.2684 0.8525
Co4 0.7536 0.6061 0.3377
Co5 0.8473 0.8473 0.0000

Results
Size of the total moment, μB per formula unit: 0.0
Symmetry: I4 (79)

---

Record 2
## TmPa2Co3 (PBE)

Data for a relaxed TmPa2Co3 crystal.

Lattice parameters (Å, degrees): 6.6314 6.6314 7.3449 106.14 106.14 48.48
Sites, in units of the cell vectors:
Tm1 0.0545 0.9455 0.7500
Tm2 0.9455 0.0545 0.2500
Pa1 0.3210 0.3436 0.9175
Pa2 0.3436 0.3210 0.4175
Pa3 0.6564 0.6790 0.5825
Pa4 0.6790 0.6564 0.0825
Co1 0.1653 0.1871 0.5909
Co2 0.1871 0.1653 0.0909
Co3 0.4440 0.5560 0.2500
Co4 0.5560 0.4440 0.7500
Co5 0.8129 0.8347 0.9091
Co6 0.8347 0.8129 0.4091

Results
Size of the total moment, μB per formula unit: 0.0
Symmetry: C2/c (15)

---

Record 3
## TmPaCo (PBE)

Data for a relaxed TmPaCo crystal.

Lattice parameters (Å, degrees): 4.1790 4.1790 4.6667 90.00 90.00 120.00
Sites, in units of the cell vectors:
Tm1 0.0000 0.0000 0.0000
Pa1 0.6667 0.3333 0.5000
Co1 0.3333 0.6667 0.5000

Results
Relative energy among the computed polymorphs, meV/atom: 347
Size of the total moment, μB per formula unit: 0.0
Symmetry: P-6m2 (187)

---

Record 4
## TmPaCo4 (PBE)

Data for a relaxed TmPaCo4 crystal.

Lattice parameters (Å, degrees): 4.9730 4.9730 4.9730 60.00 60.00 60.00
Sites, in units of the cell vectors:
Tm1 0.0000 0.0000 0.0000
Pa1 0.7500 0.7500 0.7500
Co1 0.3746 0.3746 0.3746
Co2 0.3746 0.3746 0.8761
Co3 0.3746 0.8761 0.3746
Co4 0.8761 0.3746 0.3746

Results
Size of the total moment, μB per formula unit: 0.0
Symmetry: F-43m (216)

---

Number 1: D(E_F) 0.694 states/eV/atom, density 10.4 Mg/m³, formation energy from the elements -0.0936 eV per atom. Number 2: D(E_F) 0.712 states/eV/atom, density 11.6 Mg/m³, formation energy from the elements -0.2552 eV per atom. Number 3: D(E_F) 1.576 states/eV/atom, density 10.8 Mg/m³, formation energy from the elements 0.1161 eV per atom. Number 4: D(E_F) 1.363 states/eV/atom, density 12.1 Mg/m³, formation energy from the elements -0.2726 eV per atom.